A plane-wave DFT calculation with PBE-GGA was carried out for crystalline Be2AsRh at its relaxed geometry.

Summary:
DFT formation energy = 0.071 eV/atom

```
Be2AsRh
1.0
0.000 2.902 2.902
2.902 0.000 2.902
2.902 2.902 0.000
Be As Rh
2 1 1
Direct
0.000 0.000 0.000 Be
0.250 0.250 0.250 Be
0.750 0.750 0.750 As
0.500 0.500 0.500 Rh
```